This record from Alexandria via LeMat-Bulk describes a relaxed structure of Mn2TlIrO8. The functional is PBE with a Hubbard U.

Cell: 4.6120 6.5153 4.6187 Å, 90.00 90.22 90.00°
Closest atoms and distances in Å follow each position.
Space group P2/m (No. 10)
Symmetry-distinct sites (fractional):
Mn1 0.0000 0.2431 0.0000 x2  6 O 1.93-2.06
Tl1 0.5000 0.5000 0.5000 x1  6 O 2.15-2.26
Ir1 0.5000 0.0000 0.5000 x1  6 O 1.95
O1 0.1719 0.5000 0.8301 x2  2 Mn 2.01, 1 Tl 2.15, 1 O 2.24
O2 0.2032 0.0000 0.7987 x2  1 Ir 1.95, 2 Mn 2.06
O3 0.2946 0.2197 0.2969 x4  1 Mn 1.93, 1 Ir 1.95

DOS(E_F)   4.81 states/eV/f.u.
Electronic total energy   -0.4713 Ry/atom
Density   7591 kg/m³